Record 1
ZnP: optimized geometry, GGA-PBE.

ΔE_f   0.357 eV per atom
Calculated density   4.98 g/cm³
Space group   Cmmm (65)
V   16.07 Å³/atom
N(E_F)   0.73 states/eV/f.u.
Crystal system   orthorhombic

Lattice parameters (Å, degrees): 3.0498 3.0498 3.6250 90.00 90.00 107.62
Closest atoms and distances in Å follow each position.
Sites, in units of the cell vectors:
P1 0.0000 0.0000 0.0000  4 Zn 2.55
Zn1 0.5000 0.5000 0.5000  4 P 2.55

Record 2
Dy12Tm6Th: optimized geometry, GGA-PBE.

ΔE_f   0.145 eV per atom
Calculated density   8.75 g/cm³
Space group   R-3 (148)
V   31.93 Å³/atom
N(E_F)   33.20 states/eV/f.u.
Energy relative to the lowest polymorph listed for this composition   0 meV/atom
Crystal system   trigonal

Lattice parameters (Å, degrees): 8.4684 8.4684 8.4684 88.55 88.55 88.55
Closest atoms and distances in Å follow each position.
Sites, in units of the cell vectors:
Dy1 0.4376 0.7764 0.5413  3 Tm 3.26-3.42, 6 Dy 3.28-3.56
Dy2 0.9901 0.7939 0.6475  4 Dy 3.40-3.52, 4 Tm 3.46-3.68, 1 Th 3.50
Dy3 0.5413 0.4376 0.7764  3 Tm 3.26-3.42, 6 Dy 3.28-3.56
Dy4 0.2236 0.4587 0.5624  3 Tm 3.26-3.42, 6 Dy 3.28-3.56
Dy5 0.7764 0.5413 0.4376  3 Tm 3.26-3.42, 6 Dy 3.28-3.56
Dy6 0.7939 0.6475 0.9901  4 Dy 3.40-3.52, 4 Tm 3.46-3.68, 1 Th 3.50
Dy7 0.3525 0.0099 0.2061  4 Dy 3.40-3.52, 4 Tm 3.46-3.68, 1 Th 3.50
Dy8 0.4587 0.5624 0.2236  3 Tm 3.26-3.42, 6 Dy 3.28-3.56
Dy9 0.5624 0.2236 0.4587  3 Tm 3.26-3.42, 6 Dy 3.28-3.56
Dy10 0.0099 0.2061 0.3525  4 Dy 3.40-3.52, 4 Tm 3.46-3.68, 1 Th 3.50
Dy11 0.2061 0.3525 0.0099  4 Dy 3.40-3.52, 4 Tm 3.46-3.68, 1 Th 3.50
Dy12 0.6475 0.9901 0.7939  4 Dy 3.40-3.52, 4 Tm 3.46-3.68, 1 Th 3.50
Tm1 0.9060 0.3080 0.7451  6 Dy 3.26-3.54, 1 Th 3.43, 2 Tm 3.45
Tm2 0.7451 0.9060 0.3080  6 Dy 3.26-3.54, 1 Th 3.43, 2 Tm 3.45
Tm3 0.6920 0.2549 0.0940  6 Dy 3.26-3.54, 1 Th 3.43, 2 Tm 3.45
Tm4 0.3080 0.7451 0.9060  6 Dy 3.26-3.54, 1 Th 3.43, 2 Tm 3.45
Tm5 0.0940 0.6920 0.2549  6 Dy 3.26-3.54, 1 Th 3.43, 2 Tm 3.45
Tm6 0.2549 0.0940 0.6920  6 Dy 3.26-3.54, 1 Th 3.43, 2 Tm 3.45
Th1 0.0000 0.0000 0.0000  6 Tm 3.43, 6 Dy 3.50